# 1
Sc2TcAs4 (PBE, relaxed); ΔH_f (0 K) = -0.19 eV per atom; space-group type = No. 139; calculated volume = 22.184 Å³/atom; VASP energy = -6.133 eV per atom
1.0
4.8288 0.0000 0.0000
0.0000 4.8288 0.0000
2.4144 2.4144 6.6598
Tc As Sc
1 4 2
direct
0.0000 0.0000 0.0000
0.1915 0.1915 0.6170
0.8085 0.8085 0.3830
0.5000 0.0000 0.0000
0.0000 0.5000 0.0000
0.3846 0.3846 0.2309
0.6155 0.6155 0.7691


# 2
ScTc2As (PBE, relaxed); ΔH_f (0 K) = -0.26 eV per atom; space-group type = No. 44; calculated volume = 15.614 Å³/atom; VASP energy = -8.186 eV per atom
1.0
5.3191 -0.0036 -0.0053
4.3566 3.0517 -0.0053
1.6837 0.5304 3.8420
Tc As Sc
2 1 1
direct
0.0130 0.0130 0.9871
0.7548 0.7548 0.7451
0.4816 0.4816 0.5186
0.2507 0.2507 0.2492


# 3
Sc2TcAs2 (PBE, relaxed); ΔH_f (0 K) = -0.86 eV per atom; space-group type = No. 127; calculated volume = 17.466 Å³/atom; VASP energy = -7.323 eV per atom
1.0
-5.4552 2.4591 2.9865
-3.5908 -1.2973 -5.4908
-0.8407 -3.5517 1.3889
Sc Tc As
4 2 4
direct
0.1669 0.6669 0.5000
0.8331 0.3331 0.5000
0.3331 0.1669 0.5000
0.6669 0.8331 0.5000
0.0000 0.0000 0.0000
0.5000 0.5000 0.0000
0.8565 0.6435 0.0000
0.1435 0.3565 0.0000
0.3565 0.8565 0.0000
0.6435 0.1435 0.0000


# 4
ScTc2As2 (PBE, relaxed); ΔH_f (0 K) = -0.23 eV per atom; space-group type = No. 139; calculated volume = 18.175 Å³/atom; VASP energy = -7.502 eV per atom; offset from the most stable computed form = 195 meV/atom
1.0
-3.4020 -1.0479 2.7414
-1.3501 -3.1676 -2.8863
0.2349 -5.1228 2.0151
As Sc Tc
2 1 2
direct
0.7500 0.2500 0.5000
0.2500 0.7500 0.5000
0.0000 0.0000 0.0000
0.3730 0.3730 0.2540
0.6270 0.6270 0.7460